# Li3Mn4O8, optimized geometry, DFT PBE+U
# **Total moment**: 15.00 μB per formula unit
# **Energy above the most stable polymorph in this dataset**: 0.05 eV per formula unit
data_Li3Mn4O8
_chemical_formula_sum 'Li6 Mn8 O16'
_cell_length_a 10.6616
_cell_length_b 5.8376
_cell_length_c 5.8015
_cell_angle_alpha 90.00
_cell_angle_beta 122.71
_cell_angle_gamma 90.00
_space_group_name_H-M_alt 'C 1 2/m 1'
_space_group_IT_number 12
_space_group_name_Hall '-C 2y'
loop_
_atom_site_label
_atom_site_fract_x
_atom_site_fract_y
_atom_site_fract_z
Li1 0.0000 0.0000 0.0000
Li2 0.2500 0.2500 0.5000
Mn1 0.0000 0.5000 0.0000
Mn2 0.0000 0.5000 0.5000
Mn3 0.2500 0.2500 0.0000
O1 0.0025 0.2774 0.2479
O2 0.2187 0.5000 0.2034
O3 0.2435 0.0000 0.2166